(1)
The following is a DFT calculation (GGA-PBE) of a geometry-optimized LiAc2TlIr structure.

Computed properties:
The final energy comes out at -23.5 eV/f.u. The calculation puts the formation energy at -421.0 meV/atom.

abc: 8.429 4.336 8.678
angles: 90.00 110.02 90.00
Positions (direct):
Li 0.070 0.250 0.159
Li 0.930 0.750 0.841
Ac 0.226 0.750 0.523
Ac 0.391 0.750 0.159
Ac 0.609 0.250 0.841
Ac 0.774 0.250 0.477
Tl 0.167 0.250 0.827
Tl 0.833 0.750 0.173
Ir 0.388 0.250 0.395
Ir 0.612 0.750 0.605

(2)
The following is a DFT calculation (GGA-PBE) of a geometry-optimized LiAc2Zn4Ir3 structure.

Computed properties:
The final energy comes out at -45.8 eV/f.u. The calculation puts the formation energy at -403.0 meV/atom.

abc: 4.336 4.336 10.674
angles: 90.00 90.00 90.00
Positions (direct):
Li 0.000 0.000 0.000
Ac 0.000 0.500 0.746
Ac 0.500 0.000 0.254
Zn 0.000 0.000 0.500
Zn 0.000 0.500 0.123
Zn 0.500 0.000 0.877
Zn 0.500 0.500 0.500
Ir 0.000 0.500 0.361
Ir 0.500 0.000 0.639
Ir 0.500 0.500 0.000

(3)
The following is a DFT calculation (GGA-PBE) of a geometry-optimized Ac2LuIr structure.

Computed properties:
The final energy comes out at -21.6 eV/f.u. The calculation puts the formation energy at -7.0 meV/atom.

abc: 11.199 11.199 11.199
angles: 21.02 21.02 21.02
Positions (direct):
Ac 0.114 0.114 0.114
Ac 0.886 0.886 0.886
Lu 0.000 0.000 0.000
Ir 0.500 0.500 0.500